Here is a relaxed AgPb2Au crystal from Alexandria. Energies are from GGA-PBEsol.

a b c (Å): 3.4249 3.4249 7.8421
angles (deg): 90.00 90.00 90.00
Element x y z (fractional)
Ag: 0.0000 0.0000 0.0000
Pb: 0.0000 0.0000 0.4165
Pb: 0.5000 0.5000 0.7620
Au: 0.5000 0.5000 0.1825

Values from the calculation:
DOS at the Fermi energy ... 0.48 states/eV/atom
Crystal system ... tetragonal
Calculated volume ... 23.0 A^3/atom
Symmetry ... P4mm
Calculated formation energy ... 0.018 eV/atom
Energy above the most stable polymorph in this dataset ... 22 meV/atom